[1]
Here is a geometry-optimized La3Be structure from the Alexandria database. Energies are from PBE.

Calculated values
Total moment (μB/f.u.): 0.0
Calculated total energy (eV/atom): -4.3805
ΔE_f (eV per atom): 0.247
Symmetry: I4/mmm, No. 139
Distance to the lowest polymorph of the same formula (eV per atom): 0.134

```
4
Lattice="-2.399 2.399 4.959 2.399 -2.399 4.959 2.399 2.399 -4.959" Properties=species:S:1:pos:R:3 pbc="T T T"
La 0.000 0.000 0.000
La 2.399 0.000 2.480
La 0.000 2.399 2.480
Be 0.000 0.000 4.959
```

---

[2]
Here is a geometry-optimized La3Be structure from the Alexandria database. Energies are from PBE.

Calculated values
Total moment (μB/f.u.): 0.0
Calculated total energy (eV/atom): -4.4804
ΔE_f (eV per atom): 0.147
Symmetry: Pnma, No. 62
Distance to the lowest polymorph of the same formula (eV per atom): 0.034

```
16
Lattice="8.202 0.000 0.000 0.000 9.197 0.000 0.000 0.000 6.366" Properties=species:S:1:pos:R:3 pbc="T T T"
La 0.352 2.299 0.691
La 1.339 0.489 4.086
La 1.339 4.110 4.086
La 2.762 5.087 0.904
La 2.762 8.708 0.904
La 3.748 6.898 3.874
La 4.453 2.299 2.492
La 5.440 0.489 5.462
La 5.440 4.110 5.462
La 6.863 5.087 2.279
La 6.863 8.708 2.279
La 7.849 6.898 5.675
Be 0.997 6.898 2.711
Be 3.103 2.299 5.894
Be 5.098 6.898 0.471
Be 7.204 2.299 3.654
```